Entry A
A plane-wave DFT calculation with PBE-GGA was carried out for LaMg2Pd2 after structural relaxation.

Cell lengths 4.1815, 4.1815, 12.4637 Å; angles 90.00, 90.00, 90.00 degrees
Last column: nearest neighbours and their distance in Å.
Space group I4/mmm (No. 139)
Asymmetric unit:
La 0.0000 0.0000 0.0000 (multiplicity 2)  8 Pd 3.26
Mg 0.0000 0.5000 0.2500 (multiplicity 4)  4 Pd 2.72, 4 Mg 2.96
Pd 0.0000 0.0000 0.3901 (multiplicity 4)  4 Mg 2.72, 1 Pd 2.74

Output
The density of states at the Fermi level comes out at 5.29 states/eV/cell.

Entry B
A plane-wave DFT calculation with PBE-GGA was carried out for LaMg2Pd2 after structural relaxation.

Cell lengths 8.1105, 8.1105, 3.0291 Å; angles 90.00, 90.00, 90.00 degrees
Last column: nearest neighbours and their distance in Å.
Space group P4/mbm (No. 127)
Asymmetric unit:
La 0.0000 0.0000 0.0000 (multiplicity 2)  2 La 3.03, 4 Mg 3.22, 8 Pd 3.36
Mg 0.1221 0.3779 0.0000 (multiplicity 4)  6 Pd 2.80-2.86, 3 Mg 2.80-3.03
Pd 0.1730 0.6730 0.5000 (multiplicity 4)  6 Mg 2.80-2.86, 2 Pd 3.03

Output
The density of states at the Fermi level comes out at 6.31 states/eV/cell.

Entry C
A plane-wave DFT calculation with PBE-GGA was carried out for LaMg2Pd2 after structural relaxation.

Cell lengths 7.9144, 7.9144, 3.3133 Å; angles 90.00, 90.00, 90.00 degrees
Last column: nearest neighbours and their distance in Å.
Space group P4/mbm (No. 127)
Asymmetric unit:
La 0.0000 0.0000 0.0000 (multiplicity 2)  4 Pd 2.99, 2 La 3.31
Mg 0.1351 0.3649 0.5000 (multiplicity 4)  6 Pd 2.83-2.88, 1 Mg 3.02
Pd 0.1547 0.6547 0.0000 (multiplicity 4)  6 Mg 2.83-2.88, 2 La 2.99

Output
The density of states at the Fermi level comes out at 6.98 states/eV/cell.

Last place for stability: entry B

Entry A
A plane-wave DFT calculation with PBE-GGA was carried out for LaMg4Pd2 after structural relaxation.

Cell lengths 8.1524, 8.1524, 4.5526 Å; angles 90.00, 90.00, 90.00 degrees
Last column: nearest neighbours and their distance in Å.
Space group P4_2/mnm (No. 136)
Asymmetric unit:
La 0.0000 0.0000 0.0000 (multiplicity 2)  2 Pd 3.04
Mg 0.0860 0.3367 0.5000 (multiplicity 8)  3 Pd 2.75-2.76, 2 Mg 2.89-3.01
Pd 0.2360 0.7640 0.5000 (multiplicity 4)  6 Mg 2.75-2.76, 1 La 3.04

Output
The density of states at the Fermi level comes out at 7.27 states/eV/cell.

Entry B
A plane-wave DFT calculation with PBE-GGA was carried out for LaMg4Pd2 after structural relaxation.

Cell lengths 4.3412, 16.5615, 4.3055 Å; angles 90.00, 90.00, 90.00 degrees
Last column: nearest neighbours and their distance in Å.
Space group Cmmm (No. 65)
Asymmetric unit:
La 0.0000 0.0000 0.0000 (multiplicity 2)  8 Pd 3.34, 8 Mg 3.66-3.67
Mg 0.0000 0.1785 0.5000 (multiplicity 4)  2 Pd 2.70
Mg 0.0000 0.3213 0.0000 (multiplicity 4)  2 Pd 2.68
Pd 0.0000 0.4181 0.5000 (multiplicity 4)  4 Mg 2.68-2.70, 1 Pd 2.71

Output
The density of states at the Fermi level comes out at 7.27 states/eV/cell.

Last place for stability: entry B

Entry A
A plane-wave DFT calculation with PBE-GGA was carried out for La2Pm6Mg after structural relaxation.

Cell lengths 10.4178, 11.7967, 10.9699 Å; angles 90.00, 116.05, 90.00 degrees
Last column: nearest neighbours and their distance in Å.
Space group C2/c (No. 15)
Asymmetric unit:
La 0.1670 0.1432 0.2560 (multiplicity 8)  5 Pm 3.35-3.63, 1 La 3.42, 1 Mg 3.53
Pm 0.0074 0.3637 0.4393 (multiplicity 8)  2 La 3.35-3.57, 2 Mg 3.46-3.48, 4 Pm 3.50-3.60
Pm 0.1556 0.1455 0.8994 (multiplicity 8)  6 Pm 3.32-3.57, 1 Mg 3.44
Pm 0.1719 0.0974 0.5854 (multiplicity 8)  3 La 3.41-3.63, 5 Pm 3.48-3.60
Mg 0.0000 0.3973 0.7500 (multiplicity 4)  6 Pm 3.44-3.48, 2 La 3.53

Output
The density of states at the Fermi level comes out at 44.16 states/eV/cell.

Entry B
A plane-wave DFT calculation with PBE-GGA was carried out for La2Pm6Mg after structural relaxation.

Cell lengths 10.8435, 10.8435, 5.1842 Å; angles 90.00, 90.00, 90.00 degrees
Last column: nearest neighbours and their distance in Å.
Space group P4_2/mnm (No. 136)
Asymmetric unit:
La 0.1633 0.1633 0.0000 (multiplicity 4)  2 Mg 3.60, 10 Pm 3.61-3.64
Pm 0.0016 0.6680 0.5000 (multiplicity 8)  8 Pm 3.60-3.65, 1 Mg 3.60, 3 La 3.63-3.64
Pm 0.1699 0.8301 0.0000 (multiplicity 4)  6 Pm 3.60-3.63, 4 La 3.61-3.64, 2 Mg 3.68
Mg 0.0000 0.0000 0.5000 (multiplicity 2)  8 Pm 3.60-3.68, 4 La 3.60

Output
The density of states at the Fermi level comes out at 24.75 states/eV/cell.

Last place for stability: entry A

Entry A
A plane-wave DFT calculation with PBE-GGA was carried out for La2PmMg2 after structural relaxation.

Cell lengths 5.3609, 7.3226, 8.2945 Å; angles 90.00, 90.00, 90.00 degrees
Last column: nearest neighbours and their distance in Å.
Space group Immm (No. 71)
Asymmetric unit:
La 0.0000 0.0000 0.1896 (multiplicity 4)  1 La 3.15, 6 Mg 3.35-3.46
Pm 0.0000 0.5000 0.0000 (multiplicity 2)  4 Mg 3.43, 4 La 3.72
Mg 0.0000 0.2931 0.5000 (multiplicity 4)  1 Mg 3.03, 2 La 3.35

Output
The density of states at the Fermi level comes out at 13.41 states/eV/cell.

Entry B
A plane-wave DFT calculation with PBE-GGA was carried out for La2PmMg2 after structural relaxation.

Cell lengths 3.9376, 20.7978, 3.8532 Å; angles 90.00, 90.00, 90.00 degrees
Last column: nearest neighbours and their distance in Å.
Space group Cmmm (No. 65)
Asymmetric unit:
La 0.0000 0.1849 0.0000 (multiplicity 4)  2 La 3.35, 4 Mg 3.41
Pm 0.0000 0.0000 0.0000 (multiplicity 2)  8 Mg 3.31
Mg 0.0000 0.4121 0.5000 (multiplicity 4)  4 Pm 3.31, 4 La 3.41, 1 Mg 3.66

Output
The density of states at the Fermi level comes out at 10.54 states/eV/cell.

Last place for stability: entry A

Entry A
A plane-wave DFT calculation with PBE-GGA was carried out for La2Pm7Mg2 after structural relaxation.

Cell lengths 8.8858, 9.9230, 8.7824 Å; angles 90.00, 108.70, 90.00 degrees
Last column: nearest neighbours and their distance in Å.
Space group C2/m (No. 12)
Asymmetric unit:
La 0.0000 0.1794 0.0000 (multiplicity 4)  2 Mg 3.32, 6 Pm 3.49-3.58, 1 La 3.56
Pm 0.0000 0.5000 0.5000 (multiplicity 2)  2 Mg 3.25, 2 Pm 3.44
Pm 0.1398 0.5000 0.9131 (multiplicity 4)  2 Pm 3.31-3.44, 4 La 3.53-3.58, 1 Mg 3.55
Pm 0.2077 0.1773 0.6753 (multiplicity 8)  3 Mg 3.32-3.58, 1 La 3.49, 2 Pm 3.52-3.69
Mg 0.1159 0.0000 0.3371 (multiplicity 4)  8 Pm 3.25-3.58, 2 La 3.32

Output
The density of states at the Fermi level comes out at 32.84 states/eV/cell.

Entry B
A plane-wave DFT calculation with PBE-GGA was carried out for La2Pm7Mg2 after structural relaxation.

Cell lengths 11.3792, 11.5977, 6.3067 Å; angles 90.00, 116.95, 90.00 degrees
Last column: nearest neighbours and their distance in Å.
Space group C2/m (No. 12)
Asymmetric unit:
La 0.0000 0.1931 0.0000 (multiplicity 4)  4 Pm 3.42-3.43, 2 Mg 3.60
Pm 0.0000 0.0000 0.5000 (multiplicity 2)  2 Mg 3.35, 4 Pm 3.43
Pm 0.1079 0.5000 0.3309 (multiplicity 4)  3 Mg 3.35-3.56, 2 Pm 3.47
Pm 0.1684 0.2556 0.6818 (multiplicity 8)  2 Mg 3.23-3.59, 2 La 3.42-3.43, 5 Pm 3.43-3.58
Mg 0.2428 0.5000 0.9569 (multiplicity 4)  8 Pm 3.23-3.59, 2 La 3.60

Output
The density of states at the Fermi level comes out at 29.00 states/eV/cell.

Last place for stability: entry B